(1)
A plane-wave DFT calculation with PBE-GGA was carried out for an optimized crystal structure of CaZnRe2.

Cell: 4.469 4.469 6.329 Å, 95.40 95.40 37.04°
Fractional coordinates of all 4 atoms:
Ca 0.000 0.000 0.000
Zn 0.241 0.241 0.698
Re 0.506 0.506 0.480
Re 0.758 0.758 0.323

Results
total magnetic moment = 0.00 Bohr magnetons per cell
uncorrected energy = -6.618 eV per atom
energy of formation = 0.42 eV per atom
crystal system = monoclinic
space-group type = Cm


(2)
A plane-wave DFT calculation with PBE-GGA was carried out for an optimized crystal structure of BaAg3Se3.

Cell: 7.385 7.385 7.385 Å, 90.00 90.00 90.00°
Fractional coordinates of all 14 atoms:
Ba 0.000 0.000 0.000
Ba 0.500 0.500 0.500
Ag 0.000 0.250 0.500
Ag 0.000 0.750 0.500
Ag 0.250 0.500 0.000
Ag 0.500 0.000 0.250
Ag 0.500 0.000 0.750
Ag 0.750 0.500 0.000
Se 0.000 0.500 0.250
Se 0.000 0.500 0.750
Se 0.250 0.000 0.500
Se 0.500 0.250 0.000
Se 0.500 0.750 0.000
Se 0.750 0.000 0.500

Results
total magnetic moment = 0.00 Bohr magnetons per cell
uncorrected energy = -3.495 eV per atom
crystal system = cubic
polymorph energy (0 for the lowest one) = 79 meV per atom
space-group type = Pm-3n
formation energy from raw total energies = -49 kJ per mole of atoms


(3)
A plane-wave DFT calculation with PBE-GGA was carried out for an optimized crystal structure of Th3PbC.

Cell: 9.039 3.922 15.154 Å, 90.00 90.00 90.00°
Fractional coordinates of all 20 atoms:
Th 0.027 0.250 0.099
Th 0.176 0.250 0.504
Th 0.211 0.750 0.304
Th 0.289 0.250 0.804
Th 0.324 0.750 0.004
Th 0.473 0.750 0.599
Th 0.527 0.250 0.401
Th 0.676 0.250 0.996
Th 0.711 0.750 0.196
Th 0.789 0.250 0.696
Th 0.824 0.750 0.496
Th 0.973 0.750 0.901
Pb 0.085 0.750 0.675
Pb 0.415 0.250 0.175
Pb 0.585 0.750 0.825
Pb 0.915 0.250 0.325
C 0.157 0.250 0.948
C 0.343 0.750 0.448
C 0.657 0.250 0.552
C 0.843 0.750 0.052

Results
total magnetic moment = 0.73 Bohr magnetons per cell
uncorrected energy = -7.335 eV per atom
energy of formation = -0.30 eV per atom
crystal system = orthorhombic
space-group type = Pnma


(4)
A plane-wave DFT calculation with PBE-GGA was carried out for an optimized crystal structure of AcPt2Au.

Cell: 4.994 4.994 4.994 Å, 60.00 60.00 60.00°
Fractional coordinates of all 4 atoms:
Ac 0.000 0.000 0.000
Pt 0.250 0.250 0.250
Pt 0.750 0.750 0.750
Au 0.500 0.500 0.500

Results
total magnetic moment = 0.00 Bohr magnetons per cell
uncorrected energy = -5.381 eV per atom
energy of formation = -0.51 eV per atom
crystal system = cubic
polymorph energy (0 for the lowest one) = 252 meV per atom
space-group type = Fm-3m


(5)
A plane-wave DFT calculation with PBE-GGA was carried out for an optimized crystal structure of AcSmBeN2.

Cell: 5.502 5.061 6.990 Å, 90.00 90.02 90.00°
Fractional coordinates of all 10 atoms:
Ac 0.000 0.001 0.250
Ac 0.000 0.999 0.750
Sm 0.500 0.500 0.250
Sm 0.500 0.500 0.750
Be 0.500 0.000 0.000
Be 0.500 0.000 0.500
N 0.303 0.220 0.000
N 0.303 0.780 0.500
N 0.697 0.220 0.500
N 0.697 0.780 0.000

Results
total magnetic moment = 0.00 Bohr magnetons per cell
uncorrected energy = -6.616 eV per atom
crystal system = monoclinic
space-group type = P2/c
formation energy from raw total energies = -75 kJ per mole of atoms


(6)
A plane-wave DFT calculation with PBE-GGA was carried out for an optimized crystal structure of RbTiAsSe2.

Cell: 5.116 5.116 5.009 Å, 90.00 90.00 90.00°
Fractional coordinates of all 5 atoms:
Rb 0.000 0.000 0.000
Ti 0.500 0.500 0.500
As 0.500 0.500 0.000
Se 0.000 0.500 0.500
Se 0.500 0.000 0.500

Results
total magnetic moment = 0.40 Bohr magnetons per cell
uncorrected energy = -4.755 eV per atom
crystal system = tetragonal
polymorph energy (0 for the lowest one) = 0 meV per atom
space-group type = P4/mmm
formation energy from raw total energies = -64 kJ per mole of atoms


(7)
A plane-wave DFT calculation with PBE-GGA was carried out for an optimized crystal structure of Cs3SrAc2O6.

Cell: 6.719 6.719 7.334 Å, 98.82 98.82 119.93°
Fractional coordinates of all 12 atoms:
Cs 0.000 0.000 0.000
Cs 0.337 0.663 0.000
Cs 0.663 0.337 0.000
Sr 0.500 0.500 0.500
Ac 0.167 0.833 0.500
Ac 0.833 0.167 0.500
O 0.096 0.441 0.320
O 0.215 0.215 0.677
O 0.441 0.096 0.320
O 0.559 0.904 0.680
O 0.785 0.785 0.323
O 0.904 0.559 0.680

Results
total magnetic moment = 1.13 Bohr magnetons per cell
uncorrected energy = -5.756 eV per atom
crystal system = monoclinic
space-group type = C2/m
formation energy from raw total energies = -216 kJ per mole of atoms


(8)
A plane-wave DFT calculation with PBE-GGA was carried out for an optimized crystal structure of Bi2MoI.

Cell: 5.395 5.395 5.395 Å, 60.00 60.00 60.00°
Fractional coordinates of all 4 atoms:
Bi 0.250 0.250 0.250
Bi 0.750 0.750 0.750
Mo 0.000 0.000 0.000
I 0.500 0.500 0.500

Results
total magnetic moment = 3.11 Bohr magnetons per cell
uncorrected energy = -4.069 eV per atom
crystal system = cubic
polymorph energy (0 for the lowest one) = 213 meV per atom
space-group type = Fm-3m
formation energy from raw total energies = 93 kJ per mole of atoms


uncorrected energy of number 7 (Cs3SrAc2O6)?
-5.756 eV per atom


Which formula does entry 2 have?
BaAg3Se3


Copy entry 4 word for word.
A plane-wave DFT calculation with PBE-GGA was carried out for an optimized crystal structure of AcPt2Au.

Cell: 4.994 4.994 4.994 Å, 60.00 60.00 60.00°
Fractional coordinates of all 4 atoms:
Ac 0.000 0.000 0.000
Pt 0.250 0.250 0.250
Pt 0.750 0.750 0.750
Au 0.500 0.500 0.500

Results
total magnetic moment = 0.00 Bohr magnetons per cell
uncorrected energy = -5.381 eV per atom
energy of formation = -0.51 eV per atom
crystal system = cubic
polymorph energy (0 for the lowest one) = 252 meV per atom
space-group type = Fm-3m